(1)
{
  "formula": "NaZn2Pd2",
  "functional": "GGA-PBE",
  "state": "relaxed",
  "cell": [[7.5862, 0.0000, 0.0000], [0.0000, 7.5862, 0.0000], [0.0000, 0.0000, 2.8598]],
  "species": ["Na", "Na", "Zn", "Zn", "Zn", "Zn", "Pd", "Pd", "Pd", "Pd"],
  "frac_coords": [[0.0000, 0.0000, 0.0000], [0.5000, 0.5000, 0.0000], [0.1332, 0.3668, 0.0000], [0.3668, 0.8668, 0.0000], [0.6332, 0.1332, 0.0000], [0.8668, 0.6332, 0.0000], [0.1616, 0.6616, 0.5000], [0.3384, 0.1616, 0.5000], [0.6616, 0.8384, 0.5000], [0.8384, 0.3384, 0.5000]],
  "spacegroup": "P4/mbm, No. 127",
  "mass_density_g_cm3": 7.40,
  "dos_ef_per_ev_atom": 0.3261,
  "e_above_lowest_polymorph_mev_per_atom": 1,
  "m_tot_mub_per_atom": 0.000
}

---

(2)
{
  "formula": "NaZn10Pd3",
  "functional": "GGA-PBE",
  "state": "relaxed",
  "cell": [[0.0000, 6.3590, 6.3590], [6.3590, 0.0000, 6.3590], [6.3590, 6.3590, 0.0000]],
  "species": ["Na", "Na", "Zn", "Zn", "Zn", "Zn", "Zn", "Zn", "Zn", "Zn", "Zn", "Zn", "Zn", "Zn", "Zn", "Zn", "Zn", "Zn", "Zn", "Zn", "Zn", "Zn", "Pd", "Pd", "Pd", "Pd", "Pd", "Pd"],
  "frac_coords": [[0.2500, 0.2500, 0.2500], [0.7500, 0.7500, 0.7500], [0.0000, 0.0000, 0.3404], [0.0000, 0.0000, 0.6596], [0.0000, 0.3404, 0.0000], [0.0000, 0.3404, 0.6596], [0.0000, 0.6596, 0.0000], [0.0000, 0.6596, 0.3404], [0.1412, 0.6196, 0.6196], [0.3404, 0.0000, 0.0000], [0.3404, 0.0000, 0.6596], [0.3404, 0.6596, 0.0000], [0.3804, 0.3804, 0.3804], [0.3804, 0.3804, 0.8588], [0.3804, 0.8588, 0.3804], [0.6196, 0.1412, 0.6196], [0.6196, 0.6196, 0.1412], [0.6196, 0.6196, 0.6196], [0.6596, 0.0000, 0.0000], [0.6596, 0.0000, 0.3404], [0.6596, 0.3404, 0.0000], [0.8588, 0.3804, 0.3804], [0.2721, 0.2721, 0.7279], [0.2721, 0.7279, 0.2721], [0.2721, 0.7279, 0.7279], [0.7279, 0.2721, 0.2721], [0.7279, 0.2721, 0.7279], [0.7279, 0.7279, 0.2721]],
  "spacegroup": "Fm-3m, No. 225",
  "mass_density_g_cm3": 6.43,
  "dos_ef_per_ev_atom": 0.2934,
  "dft_energy_ev_per_atom": -2.22,
  "m_tot_mub_per_atom": 0.000
}

---

(3)
{
  "formula": "NaZn9Pd2",
  "functional": "GGA-PBE",
  "state": "relaxed",
  "cell": [[-5.3017, 5.3017, 3.5218], [5.3017, -5.3017, 3.5218], [5.3017, 5.3017, -3.5218]],
  "species": ["Na", "Na", "Zn", "Zn", "Zn", "Zn", "Zn", "Zn", "Zn", "Zn", "Zn", "Zn", "Zn", "Zn", "Zn", "Zn", "Zn", "Zn", "Zn", "Zn", "Pd", "Pd", "Pd", "Pd"],
  "frac_coords": [[0.3750, 0.6250, 0.7500], [0.6250, 0.3750, 0.2500], [0.1250, 0.8750, 0.2500], [0.1395, 0.5588, 0.3385], [0.1395, 0.8009, 0.5806], [0.1991, 0.2797, 0.3385], [0.1991, 0.8605, 0.9194], [0.2797, 0.1991, 0.8385], [0.2797, 0.4412, 0.0806], [0.4412, 0.2797, 0.5806], [0.4412, 0.8605, 0.1615], [0.5588, 0.1395, 0.8385], [0.5588, 0.7203, 0.4194], [0.7203, 0.5588, 0.9194], [0.7203, 0.8009, 0.1615], [0.8009, 0.1395, 0.0806], [0.8009, 0.7203, 0.6615], [0.8605, 0.1991, 0.4194], [0.8605, 0.4412, 0.6615], [0.8750, 0.1250, 0.7500], [0.0000, 0.0000, 0.0000], [0.0000, 0.0000, 0.5000], [0.0000, 0.5000, 0.0000], [0.5000, 0.0000, 0.5000]],
  "spacegroup": "I4_1/amd, No. 141",
  "mass_density_g_cm3": 6.92,
  "dos_ef_per_ev_atom": 0.3131,
  "e_above_lowest_polymorph_mev_per_atom": 0,
  "m_tot_mub_per_atom": 0.000
}

---

(4)
{
  "formula": "Na2ZrPd",
  "functional": "GGA-PBE",
  "state": "relaxed",
  "cell": [[0.0000, 3.4723, 3.4723], [3.4723, 0.0000, 3.4723], [3.4723, 3.4723, 0.0000]],
  "species": ["Na", "Na", "Zr", "Pd"],
  "frac_coords": [[0.2500, 0.2500, 0.2500], [0.7500, 0.7500, 0.7500], [0.0000, 0.0000, 0.0000], [0.5000, 0.5000, 0.5000]],
  "spacegroup": "Fm-3m, No. 225",
  "mass_density_g_cm3": 4.83,
  "dos_ef_per_ev_atom": 1.1172,
  "e_above_lowest_polymorph_mev_per_atom": 94,
  "m_tot_mub_per_atom": 0.291
}

---

(5)
{
  "formula": "NaZr2Pd",
  "functional": "GGA-PBE",
  "state": "relaxed",
  "cell": [[-2.0739, 2.0739, 10.2165], [2.0739, -2.0739, 10.2165], [2.0739, 2.0739, -10.2165]],
  "species": ["Na", "Na", "Zr", "Zr", "Zr", "Zr", "Pd", "Pd"],
  "frac_coords": [[0.0000, 0.0000, 0.0000], [0.7500, 0.2500, 0.5000], [0.1386, 0.6250, 0.0136], [0.3750, 0.3886, 0.5136], [0.6114, 0.1250, 0.9864], [0.8750, 0.8614, 0.4864], [0.2500, 0.7500, 0.5000], [0.5000, 0.5000, 0.0000]],
  "spacegroup": "I-42d, No. 122",
  "mass_density_g_cm3": 5.89,
  "dos_ef_per_ev_atom": 1.1595,
  "e_above_lowest_polymorph_mev_per_atom": 241,
  "m_tot_mub_per_atom": 0.000
}

---

(6)
{
  "formula": "NaZr2Pd9",
  "functional": "GGA-PBE",
  "state": "relaxed",
  "cell": [[4.0438, 0.0000, 0.0000], [0.0000, 4.0438, 0.0000], [0.0000, 0.0000, 12.0681]],
  "species": ["Na", "Zr", "Zr", "Pd", "Pd", "Pd", "Pd", "Pd", "Pd", "Pd", "Pd", "Pd"],
  "frac_coords": [[0.0000, 0.0000, 0.0000], [0.0000, 0.0000, 0.3291], [0.0000, 0.0000, 0.6709], [0.0000, 0.5000, 0.1715], [0.0000, 0.5000, 0.5000], [0.0000, 0.5000, 0.8285], [0.5000, 0.0000, 0.1715], [0.5000, 0.0000, 0.5000], [0.5000, 0.0000, 0.8285], [0.5000, 0.5000, 0.0000], [0.5000, 0.5000, 0.3366], [0.5000, 0.5000, 0.6634]],
  "spacegroup": "P4/mmm, No. 123",
  "mass_density_g_cm3": 9.79,
  "dos_ef_per_ev_atom": 0.7971,
  "dft_energy_ev_per_atom": -6.00,
  "m_tot_mub_per_atom": 0.000
}

---

(7)
{
  "formula": "NaZr4Pd2",
  "functional": "GGA-PBE",
  "state": "relaxed",
  "cell": [[-2.4406, 2.4406, 6.8210], [2.4406, -2.4406, 6.8210], [2.4406, 2.4406, -6.8210]],
  "species": ["Na", "Zr", "Zr", "Zr", "Zr", "Pd", "Pd"],
  "frac_coords": [[0.0000, 0.0000, 0.0000], [0.0000, 0.5000, 0.5000], [0.2039, 0.2039, 0.0000], [0.5000, 0.0000, 0.5000], [0.7961, 0.7961, 0.0000], [0.3903, 0.3903, 0.0000], [0.6097, 0.6097, 0.0000]],
  "spacegroup": "I4/mmm, No. 139",
  "mass_density_g_cm3": 6.14,
  "dos_ef_per_ev_atom": 1.2794,
  "dft_energy_ev_per_atom": -5.80,
  "m_tot_mub_per_atom": 0.000
}

---

(8)
{
  "formula": "NaZr2Pd",
  "functional": "GGA-PBE",
  "state": "relaxed",
  "cell": [[0.0000, 3.4345, 3.4345], [3.4345, 0.0000, 3.4345], [3.4345, 3.4345, 0.0000]],
  "species": ["Na", "Zr", "Zr", "Pd"],
  "frac_coords": [[0.0000, 0.0000, 0.0000], [0.2500, 0.2500, 0.2500], [0.7500, 0.7500, 0.7500], [0.5000, 0.5000, 0.5000]],
  "spacegroup": "Fm-3m, No. 225",
  "mass_density_g_cm3": 6.39,
  "dos_ef_per_ev_atom": 1.7592,
  "e_above_lowest_polymorph_mev_per_atom": 0,
  "m_tot_mub_per_atom": 0.000
}